# TlSb3Pd12 PBE optimized geometry
# **Energy relative to the elements, uncorrected**: -5.6 eV per formula unit
# **Mass density**: 11.44 Mg/m³
# **Magnetization**: 0.000 μB/atom
# **Crystal system**: tetragonal
data_TlSb3Pd12
_cell_length_a 4.075
_cell_length_b 4.075
_cell_length_c 16.140
_cell_angle_alpha 90.00
_cell_angle_beta 90.00
_cell_angle_gamma 90.00
_space_group_name_H-M_alt 'P 1'
_space_group_IT_number 1
loop_
_space_group_symop_operation_xyz
'x,y,z'
loop_
_atom_site_label
_atom_site_type_symbol
_atom_site_fract_x
_atom_site_fract_y
_atom_site_fract_z
Tl1 Tl 0.000 0.000 0.000
Sb1 Sb 0.000 0.000 0.247
Sb2 Sb 0.000 0.000 0.500
Sb3 Sb 0.000 0.000 0.753
Pd1 Pd 0.000 0.500 0.129
Pd2 Pd 0.000 0.500 0.376
Pd3 Pd 0.000 0.500 0.624
Pd4 Pd 0.000 0.500 0.871
Pd5 Pd 0.500 0.000 0.129
Pd6 Pd 0.500 0.000 0.376
Pd7 Pd 0.500 0.000 0.624
Pd8 Pd 0.500 0.000 0.871
Pd9 Pd 0.500 0.500 0.000
Pd10 Pd 0.500 0.500 0.254
Pd11 Pd 0.500 0.500 0.500
Pd12 Pd 0.500 0.500 0.746